Entry 1:
Computed, not measured: a geometry-optimized MnCdAg2F structure at the PBE+U level of DFT.

Cell and atoms, written as CIF:
```
data_MnCdAg2F
_space_group_name_H-M_alt 'P 1'
_space_group_IT_number 1
_space_group_name_Hall 'P 1'
_cell_length_a 5.187
_cell_length_b 5.463
_cell_length_c 5.187
_cell_angle_alpha 90.00
_cell_angle_beta 90.00
_cell_angle_gamma 90.00
loop_
_atom_site_label
_atom_site_type_symbol
_atom_site_fract_x
_atom_site_fract_y
_atom_site_fract_z
_atom_site_occupancy
F1 F 0.500 0.500 0.500 1
Mn1 Mn 0.000 0.500 0.000 1
Ag1 Ag 0.000 0.000 0.500 1
Ag2 Ag 0.500 0.000 0.000 1
Cd1 Cd 0.000 0.000 0.000 1
```

Summary:
raw total energy	-13.700	eV per formula unit



Entry 2:
Computed, not measured: a geometry-optimized CdAgMoF6 structure at the PBE+U level of DFT.

Cell and atoms, written as CIF:
```
data_CdAgMoF6
_space_group_name_H-M_alt 'P 1'
_space_group_IT_number 1
_space_group_name_Hall 'P 1'
_cell_length_a 5.949
_cell_length_b 5.949
_cell_length_c 9.640
_cell_angle_alpha 90.00
_cell_angle_beta 90.00
_cell_angle_gamma 120.00
loop_
_atom_site_label
_atom_site_type_symbol
_atom_site_fract_x
_atom_site_fract_y
_atom_site_fract_z
_atom_site_occupancy
Cd1 Cd 0.333 0.667 0.250 1
Cd2 Cd 0.667 0.333 0.750 1
Ag1 Ag 0.000 0.000 0.000 1
Ag2 Ag 0.000 0.000 0.500 1
Mo1 Mo 0.667 0.333 0.250 1
Mo2 Mo 0.333 0.667 0.750 1
F1 F 0.651 0.629 0.137 1
F2 F 0.978 0.349 0.137 1
F3 F 0.349 0.978 0.637 1
F4 F 0.022 0.651 0.863 1
F5 F 0.371 0.349 0.363 1
F6 F 0.978 0.629 0.363 1
F7 F 0.629 0.978 0.863 1
F8 F 0.651 0.022 0.363 1
F9 F 0.022 0.371 0.637 1
F10 F 0.371 0.022 0.137 1
F11 F 0.629 0.651 0.637 1
F12 F 0.349 0.371 0.863 1
```

Summary:
raw total energy	-40.838	eV per formula unit